First-principles (PBE) data for a relaxed KAl2PdCl8 crystal, as listed in Alexandria via LeMat-Bulk.

Unit cell a=6.3936 b=6.3936 c=10.0758 alpha=71.50 beta=71.50 gamma=60.00
Site moments in Bohr magnetons follow the coordinates.
Element x y z (fractional)
Cl  0.4029  0.7202  0.8277  0.02
Cl  0.8239  0.8239  0.5284  0.00
Pd  0.0000  0.0000  0.0000  0.77
Cl  0.9508  0.5971  0.1723  0.02
Cl  0.0492  0.4029  0.8277  0.02
Cl  0.7202  0.0492  0.8277  0.02
Al  0.7471  0.7471  0.7588  0.00
K  0.5000  0.5000  0.5000  0.00
Cl  0.2798  0.9508  0.1723  0.02
Al  0.2529  0.2529  0.2412  0.00
Cl  0.1761  0.1761  0.4716  0.00
Cl  0.5971  0.2798  0.1723  0.02

Calculated values
Total DFT energy (no corrections) in eV/cell: -44.6
Mass density in g cm⁻³: 2.4
Space-group type: No. 148

***

First-principles (PBE) data for a relaxed Ac3CdCoCl crystal, as listed in Alexandria via LeMat-Bulk.

Unit cell a=4.2925 b=9.4878 c=9.8579 alpha=96.30 beta=90.00 gamma=90.00
Element x y z (fractional)
Co  0.7500  0.3495  0.8612
Cl  0.7500  0.9023  0.4119
Ac  0.7500  0.3173  0.5637
Ac  0.7500  0.8523  0.1143
Cd  0.2500  0.1802  0.2524
Cd  0.7500  0.8198  0.7476
Ac  0.2500  0.1477  0.8857
Ac  0.2500  0.6827  0.4363
Co  0.2500  0.6505  0.1388
Cl  0.2500  0.0977  0.5881
Ac  0.2500  0.5588  0.8462
Ac  0.7500  0.4412  0.1538

Calculated values
Total DFT energy (no corrections) in eV/cell: -50.6
Mass density in g cm⁻³: 7.4
Space-group type: No. 11

***

First-principles (PBE) data for a relaxed Mg3H4Ir crystal, as listed in Alexandria via LeMat-Bulk.

Unit cell a=5.3344 b=5.2092 c=4.2947 alpha=114.31 beta=113.68 gamma=67.41
Element x y z (fractional)
H  0.7402  0.6597  0.5115
H  0.5630  0.2308  0.2074
Mg  0.8417  0.7120  0.0881
Mg  0.4516  0.3529  0.7131
Mg  0.1386  0.0663  0.9134
Ir  0.8880  0.2990  0.4048
H  0.1307  0.9709  0.3618
H  0.4394  0.7521  0.9074

Calculated values
Energy above the lowest structure with this stoichiometry in meV/atom: 12
Mass density in g cm⁻³: 4.7
Space-group type: No. 8

***

First-principles (PBE) data for a relaxed Er12Zn6Ru crystal, as listed in Alexandria via LeMat-Bulk.

Unit cell a=7.9020 b=7.9020 c=7.9020 alpha=92.82 beta=92.82 gamma=92.82
Element x y z (fractional)
Zn  0.6632  0.8641  0.2634
Er  0.5631  0.4508  0.8014
Er  0.8970  0.6781  0.0292
Er  0.1986  0.4369  0.5492
Er  0.4369  0.5492  0.1986
Er  0.9708  0.1030  0.3219
Er  0.5492  0.1986  0.4369
Zn  0.1359  0.7366  0.3368
Zn  0.7366  0.3368  0.1359
Ru  0.0000  0.0000  0.0000
Er  0.6781  0.0292  0.8970
Er  0.4508  0.8014  0.5631
Er  0.3219  0.9708  0.1030
Zn  0.8641  0.2634  0.6632
Zn  0.2634  0.6632  0.8641
Er  0.1030  0.3219  0.9708
Er  0.0292  0.8970  0.6781
Zn  0.3368  0.1359  0.7366
Er  0.8014  0.5631  0.4508

Calculated values
DFT formation energy in eV per atom: -0.126
Mass density in g cm⁻³: 8.4
Space-group type: No. 148

***

First-principles (PBE) data for a relaxed Li2CuSnF crystal, as listed in Alexandria via LeMat-Bulk.

Unit cell a=5.4696 b=4.7118 c=5.4696 alpha=90.00 beta=90.00 gamma=90.00
Element x y z (fractional)
Sn  0.0000  0.0000  0.0000
Li  0.0000  0.0000  0.5000
Li  0.5000  0.0000  0.0000
Cu  0.0000  0.5000  0.0000
F  0.5000  0.5000  0.5000

Calculated values
Total DFT energy (no corrections) in eV/cell: -14.1
Mass density in g cm⁻³: 2.5
Space-group type: No. 123

***

First-principles (PBE) data for a relaxed NaLaAs2Se crystal, as listed in Alexandria via LeMat-Bulk.

Unit cell a=5.7654 b=5.7654 c=5.7800 alpha=90.00 beta=90.00 gamma=90.00
Site moments in Bohr magnetons follow the coordinates.
Element x y z (fractional)
Na  0.5000  0.5000  0.5000  0.00
As  0.0000  0.5000  0.0000  0.14
La  0.0000  0.0000  0.0000  0.02
Se  0.0000  0.0000  0.5000  0.09
As  0.5000  0.0000  0.0000  0.14

Calculated values
Energy above the lowest structure with this stoichiometry in meV/atom: 28
Mass density in g cm⁻³: 3.4
Space-group type: No. 123

***

First-principles (PBE) data for a relaxed LiPr2Ge3Rh4 crystal, as listed in Alexandria via LeMat-Bulk.

Unit cell a=4.1778 b=4.1778 c=10.5050 alpha=90.00 beta=90.00 gamma=90.00
Element x y z (fractional)
Rh  0.0000  0.5000  0.3659
Rh  0.5000  0.5000  0.0000
Ge  0.0000  0.5000  0.1283
Pr  0.0000  0.5000  0.7475
Rh  0.5000  0.0000  0.6341
Pr  0.5000  0.0000  0.2525
Ge  0.0000  0.0000  0.5000
Li  0.5000  0.5000  0.5000
Rh  0.0000  0.0000  0.0000
Ge  0.5000  0.0000  0.8717

Calculated values
DFT formation energy in eV per atom: -0.817
Mass density in g cm⁻³: 8.3
Space-group type: No. 115

***

First-principles (PBE) data for a relaxed TlCdRu2 crystal, as listed in Alexandria via LeMat-Bulk.

Unit cell a=9.8504 b=9.8504 c=9.8504 alpha=17.32 beta=17.32 gamma=17.32
Element x y z (fractional)
Cd  0.7402  0.7402  0.7402
Tl  0.5080  0.5080  0.5080
Ru  0.2594  0.2594  0.2594
Ru  0.9924  0.9924  0.9924

Calculated values
DFT formation energy in eV per atom: 0.447
Mass density in g cm⁻³: 11.7
Space-group type: No. 160

***

First-principles (PBE) data for a relaxed Mn2CoSi crystal, as listed in Alexandria via LeMat-Bulk.

Unit cell a=4.4054 b=4.4054 c=4.1119 alpha=73.91 beta=73.91 gamma=36.55
Site moments in Bohr magnetons follow the coordinates.
Element x y z (fractional)
Co  0.7605  0.7605  0.6869  0.64
Mn  0.9951  0.9951  0.0562  -1.48
Mn  0.2486  0.2486  0.2013  2.40
Si  0.4958  0.4958  0.5556  0.01

Calculated values
Total DFT energy (no corrections) in eV/cell: -31.9
Mass density in g cm⁻³: 7.2
Space-group type: No. 8

***

First-principles (PBE) data for a relaxed La2PmCu2Si2 crystal, as listed in Alexandria via LeMat-Bulk.

Unit cell a=4.2383 b=4.2383 c=10.1291 alpha=77.92 beta=77.92 gamma=60.00
Element x y z (fractional)
La  0.8692  0.8692  0.3925
Cu  0.4002  0.4002  0.7993
Cu  0.5998  0.5998  0.2007
Si  0.2661  0.2661  0.2018
La  0.1308  0.1308  0.6075
Si  0.7339  0.7339  0.7982
Pm  0.0000  0.0000  0.0000

Calculated values
Total DFT energy (no corrections) in eV/cell: -37.0
Mass density in g cm⁻³: 6.6
Space-group type: No. 166

***

First-principles (PBE) data for a relaxed Ho2Er8Sc3 crystal, as listed in Alexandria via LeMat-Bulk.

Unit cell a=5.9362 b=8.5506 c=8.5506 alpha=80.55 beta=71.10 gamma=71.10
Element x y z (fractional)
Er  0.7761  0.4089  0.4089
Er  0.2239  0.5911  0.5911
Er  0.6516  0.0746  0.6106
Ho  0.3435  0.3211  0.3211
Ho  0.6565  0.6789  0.6789
Er  0.6516  0.6106  0.0746
Sc  0.0000  0.2685  0.7315
Sc  0.5000  0.0000  0.0000
Er  0.3484  0.3894  0.9254
Er  0.1142  0.8646  0.8646
Er  0.8858  0.1354  0.1354
Er  0.3484  0.9254  0.3894
Sc  0.0000  0.7315  0.2685

Calculated values
DFT formation energy in eV per atom: 0.194
Energy above the lowest structure with this stoichiometry in meV/atom: 0
Mass density in g cm⁻³: 7.7
Space-group type: No. 12

***

First-principles (PBE) data for a relaxed Ga2CuSb2 crystal, as listed in Alexandria via LeMat-Bulk.

Unit cell a=6.4896 b=6.4896 c=5.0923 alpha=90.00 beta=90.00 gamma=90.00
Element x y z (fractional)
Sb  0.1716  0.6716  0.5000
Ga  0.8542  0.6458  0.0000
Sb  0.8284  0.3284  0.5000
Cu  0.0000  0.0000  0.0000
Ga  0.6458  0.1458  0.0000
Sb  0.3284  0.1716  0.5000
Ga  0.3542  0.8542  0.0000
Cu  0.5000  0.5000  0.0000
Ga  0.1458  0.3542  0.0000
Sb  0.6716  0.8284  0.5000

Calculated values
Energy above the lowest structure with this stoichiometry in meV/atom: 0
Mass density in g cm⁻³: 6.9
Space-group type: No. 127